1 | Density functional theory data (GGA-PBE) for crystalline SbRh3F at its relaxed geometry.

Output
Calculated volume   119 Å³/cell

a = 4.9220 Å, b = 4.9220 Å, c = 4.9220 Å
α = 90.00°, β = 90.00°, γ = 90.00°
Last column: nearest neighbours and their distance in Å.
Space group Pm-3m (No. 221)
Symmetry-distinct sites (fractional):
Sb 0.0000 0.0000 0.0000  6 Rh 2.46
Rh 0.0000 0.0000 0.5000  2 Sb 2.46
F 0.5000 0.5000 0.5000  12 Rh 3.48

***

2 | Density functional theory data (GGA-PBE) for crystalline SbRh3F at its relaxed geometry.

Output
Calculated volume   82 Å³/cell

a = 4.3416 Å, b = 4.3416 Å, c = 4.3416 Å
α = 90.00°, β = 90.00°, γ = 90.00°
Last column: nearest neighbours and their distance in Å.
Space group Pm-3m (No. 221)
Symmetry-distinct sites (fractional):
Sb 0.0000 0.0000 0.0000  12 Rh 3.07
Rh 0.0000 0.5000 0.5000  2 F 2.17
F 0.5000 0.5000 0.5000  6 Rh 2.17

***

Decreasing stability: 2, 1